# SrLiN

A relaxed SrLiN crystal (PBE-GGA, the Alexandria database).

a = 5.3106 Å, b = 7.2386 Å, c = 7.2386 Å
α = 90.00°, β = 90.00°, γ = 90.00°
Last column: nearest neighbours and their distance in Å.
Positions (direct):
N (0.0000, 0.5000, 0.2317)  2 Li 1.99
N (0.5000, 0.2317, 0.5000)  2 Li 1.99
N (0.0000, 0.5000, 0.7683)  2 Li 1.99
N (0.5000, 0.7683, 0.5000)  2 Li 1.99
Li (0.0000, 0.3509, 0.0000)  2 N 1.99, 1 Li 2.16
Li (0.5000, 0.0000, 0.6491)  2 N 1.99, 1 Li 2.16
Li (0.0000, 0.6491, 0.0000)  2 N 1.99, 1 Li 2.16
Li (0.5000, 0.0000, 0.3509)  2 N 1.99, 1 Li 2.16
Sr (0.5000, 0.5000, 0.2649)  4 N 2.58-2.67
Sr (0.5000, 0.5000, 0.7351)  4 N 2.58-2.67
Sr (0.0000, 0.2649, 0.5000)  4 N 2.58-2.67
Sr (0.0000, 0.7351, 0.5000)  4 N 2.58-2.67

Summary:
Total magnetic moment, Bohr magnetons per cell: 0.000
SG: P4_2/mmc (131)
Formation energy without anion corrections, eV/atom: -0.333

---

# Ti2V2Cr

A relaxed Ti2V2Cr crystal (PBE-GGA, the Alexandria database).

a = 5.8846 Å, b = 5.8846 Å, c = 4.4040 Å
α = 90.00°, β = 90.00°, γ = 90.00°
Last column: nearest neighbours and their distance in Å.
Positions (direct):
Cr (0.0000, 0.0000, 0.0000)  4 V 2.24
Cr (0.5000, 0.5000, 0.0000)  4 V 2.24
Ti (0.1648, 0.6648, 0.5000)  6 V 2.69-2.88, 1 Ti 2.74
Ti (0.6648, 0.8352, 0.5000)  6 V 2.69-2.88, 1 Ti 2.74
Ti (0.3352, 0.1648, 0.5000)  6 V 2.69-2.88, 1 Ti 2.74
Ti (0.8352, 0.3352, 0.5000)  6 V 2.69-2.88, 1 Ti 2.74
V (0.3495, 0.8495, 0.0000)  2 Cr 2.24, 1 V 2.50
V (0.8495, 0.6505, 0.0000)  2 Cr 2.24, 1 V 2.50
V (0.6505, 0.1505, 0.0000)  2 Cr 2.24, 1 V 2.50
V (0.1505, 0.3495, 0.0000)  2 Cr 2.24, 1 V 2.50

Summary:
Total magnetic moment, Bohr magnetons per cell: 0.000
SG: P4/mbm (127)
Energy of formation, eV per atom: 0.224

---

# Cs4AsF

A relaxed Cs4AsF crystal (PBE-GGA, the Alexandria database).

a = 9.6659 Å, b = 9.6659 Å, c = 9.6659 Å
α = 106.59°, β = 106.59°, γ = 115.41°
Last column: nearest neighbours and their distance in Å.
Positions (direct):
As (0.5000, 0.5000, 0.0000)  8 Cs 3.75-3.76
As (0.2500, 0.7500, 0.5000)  8 Cs 3.75-3.76
Cs (0.7679, 0.4458, 0.3221)  1 F 2.88
Cs (0.5542, 0.2321, 0.6779)  1 F 2.88
Cs (0.5542, 0.8764, 0.3221)  1 F 2.88
Cs (0.1958, 0.3736, 0.1779)  1 F 2.88
Cs (0.9821, 0.8042, 0.1779)  1 F 2.88
Cs (0.1958, 0.0179, 0.8221)  1 F 2.88
Cs (0.1236, 0.4458, 0.6779)  1 F 2.88
Cs (0.6264, 0.8042, 0.8221)  1 F 2.88
F (0.7500, 0.2500, 0.5000)  4 Cs 2.88
F (0.0000, 0.0000, 0.0000)  4 Cs 2.88

Summary:
Total magnetic moment, Bohr magnetons per cell: 0.000
SG: I4_1/amd (141)
Formation energy without anion corrections, eV/atom: -1.027

---

# NdGdZnHg

A relaxed NdGdZnHg crystal (PBE-GGA, the Alexandria database).

a = 5.2752 Å, b = 5.2752 Å, c = 5.2752 Å
α = 60.00°, β = 60.00°, γ = 60.00°
Last column: nearest neighbours and their distance in Å.
Positions (direct):
Gd (0.7500, 0.7500, 0.7500)  4 Hg 3.23, 4 Zn 3.23
Zn (0.0000, 0.0000, 0.0000)  4 Gd 3.23, 4 Nd 3.23
Hg (0.5000, 0.5000, 0.5000)  4 Gd 3.23, 4 Nd 3.23
Nd (0.2500, 0.2500, 0.2500)  4 Hg 3.23, 4 Zn 3.23

Summary:
Total magnetic moment, Bohr magnetons per cell: 7.925
SG: F-43m (216)
Energy of formation, eV per atom: -0.398

---

# DyNiB2Ru

A relaxed DyNiB2Ru crystal (PBE-GGA, the Alexandria database).

a = 3.6846 Å, b = 3.6846 Å, c = 5.4183 Å
α = 109.88°, β = 109.88°, γ = 90.00°
Last column: nearest neighbours and their distance in Å.
Positions (direct):
Dy (0.0000, 0.0000, 0.0000)  8 B 2.93, 4 Ni 3.01, 4 Ru 3.01
B (0.6421, 0.6421, 0.2843)  2 Ni 2.11, 2 Ru 2.11
B (0.3579, 0.3579, 0.7157)  2 Ru 2.11, 2 Ni 2.11
Ni (0.2500, 0.7500, 0.5000)  4 B 2.11
Ru (0.7500, 0.2500, 0.5000)  4 B 2.11

Summary:
Total magnetic moment, Bohr magnetons per cell: 0.000
SG: I-4m2 (119)
Energy of formation, eV per atom: -0.528

---

# CrReB

A relaxed CrReB crystal (PBE-GGA, the Alexandria database).

a = 4.3455 Å, b = 2.8943 Å, c = 10.4516 Å
α = 90.00°, β = 100.74°, γ = 90.00°
Last column: nearest neighbours and their distance in Å.
Positions (direct):
B (0.6263, 0.0000, 0.7673)  2 B 1.81
B (0.3737, 0.5000, 0.7327)  2 B 1.81
B (0.3737, 0.0000, 0.2327)  2 B 1.81
B (0.6263, 0.5000, 0.2673)  2 B 1.81
Re (0.2814, 0.0000, 0.5711)  3 B 2.20-2.30
Re (0.7186, 0.0000, 0.4289)  3 B 2.20-2.30
Re (0.2814, 0.5000, 0.0711)  3 B 2.20-2.30
Re (0.7186, 0.5000, 0.9289)  3 B 2.20-2.30
Cr (0.8296, 0.5000, 0.6569)  4 B 2.14-2.35
Cr (0.1704, 0.5000, 0.3431)  4 B 2.14-2.35
Cr (0.8296, 0.0000, 0.1569)  4 B 2.14-2.35
Cr (0.1704, 0.0000, 0.8431)  4 B 2.14-2.35

Summary:
Offset from the most stable computed form, eV per atom: 0.0354
Total magnetic moment, Bohr magnetons per cell: 0.000
SG: C2/m (12)
Energy of formation, eV per atom: -0.293